(1)
Compound: NaLi9Mg4
Source: Alexandria via LeMat-Bulk
Functional: GGA-PBE
Structure: optimized geometry

a b c (Å): 9.0126 9.0126 9.4794
angles (deg): 90.00 90.00 120.00
Space group P6_3/mmc (No. 194)
Unique sites:
1 Na 0.3333 0.6667 0.2500 [2 per cell]
2 Li 0.0969 0.5484 0.7500 [6 per cell]
3 Li 0.1938 0.3876 0.0389 [12 per cell]
4 Mg 0.0000 0.0000 0.0000 [2 per cell]
5 Mg 0.1163 0.2327 0.7500 [6 per cell]

Size of the total moment ... 0.000 μB per formula unit
Formation energy from the elements ... 49 meV/atom

---

(2)
Compound: NaLiMg2
Source: Alexandria via LeMat-Bulk
Functional: GGA-PBE
Structure: optimized geometry

a b c (Å): 3.536 3.536 7.829
angles (deg): 90.00 90.00 90.00
Space group P4/mmm (No. 123)
Unique sites:
1 Na 0.000 0.000 0.000 [1 per cell]
2 Li 0.000 0.000 0.500 [1 per cell]
3 Mg 0.500 0.500 0.298 [2 per cell]

Energy relative to the lowest polymorph listed for this composition ... 0 kJ/mol of formula units
Size of the total moment ... 0.000 μB per formula unit
Formation energy from the elements ... 43 meV/atom

---

(3)
Compound: NaLiMg6
Source: Alexandria via LeMat-Bulk
Functional: GGA-PBE
Structure: optimized geometry

a b c (Å): 5.147 6.441 11.351
angles (deg): 90.00 90.00 90.00
Space group Amm2 (No. 38)
Unique sites:
1 Na 0.000 0.000 0.000 [2 per cell]
2 Li 0.000 0.000 0.498 [2 per cell]
3 Mg 0.000 0.249 0.750 [4 per cell]
4 Mg 0.500 0.000 0.167 [2 per cell]
5 Mg 0.500 0.000 0.659 [2 per cell]
6 Mg 0.500 0.243 0.413 [4 per cell]

Size of the total moment ... 0.000 μB per formula unit
Formation energy from the elements ... 32 meV/atom

---

(4)
Compound: NaLi9Mg2
Source: Alexandria via LeMat-Bulk
Functional: GGA-PBE
Structure: optimized geometry

a b c (Å): 4.479 4.479 12.848
angles (deg): 90.00 90.00 90.00
Space group P4/mmm (No. 123)
Unique sites:
1 Na 0.000 0.000 0.000 [1 per cell]
2 Li 0.000 0.500 0.183 [4 per cell]
3 Li 0.000 0.500 0.500 [2 per cell]
4 Li 0.500 0.500 0.000 [1 per cell]
5 Li 0.500 0.500 0.342 [2 per cell]
6 Mg 0.000 0.000 0.346 [2 per cell]

Energy relative to the lowest polymorph listed for this composition ... 0 kJ/mol of formula units
Size of the total moment ... 0.000 μB per formula unit
Formation energy from the elements ... 0 meV/atom